Ca2ZrSc: optimized geometry, GGA-PBE.

Summary:
Total magnetization: 0.000 μB per atom
ΔE_f: 0.15 eV per atom

a = 3.4409 Å, b = 3.4409 Å, c = 10.3677 Å
α = 90.00°, β = 90.00°, γ = 90.00°
Atoms (fractional coordinates):
Ca 0.0000 0.0000 0.0000
Ca 0.5000 0.5000 0.3000
Zr 0.5000 0.5000 0.7492
Sc 0.0000 0.0000 0.5622

***

Ca5Se3: optimized geometry, GGA-PBE.

Summary:
Total magnetization: 0.075 μB per atom
Energy relative to the elements, uncorrected: -1.2206 eV per atom

a = 8.7742 Å, b = 8.7742 Å, c = 8.7773 Å
α = 100.07°, β = 100.07°, γ = 130.51°
Atoms (fractional coordinates):
Ca 0.0000 0.0000 0.0000
Ca 0.0442 0.8299 0.3596
Ca 0.1700 0.5291 0.2145
Ca 0.3146 0.9553 0.7860
Ca 0.4707 0.6850 0.6407
Ca 0.5003 0.5003 0.0007
Ca 0.5291 0.1700 0.2145
Ca 0.6850 0.4707 0.6407
Ca 0.8299 0.0442 0.3596
Ca 0.9553 0.3146 0.7860
Se 0.0009 0.5000 0.5010
Se 0.0726 0.7135 0.0002
Se 0.2859 0.2859 0.3592
Se 0.5000 0.0009 0.5010
Se 0.7135 0.0726 0.0002
Se 0.9273 0.9273 0.6409

***

CaSe2: optimized geometry, GGA-PBE.

Summary:
Total magnetization: 0.000 μB per atom
Energy relative to the elements, uncorrected: -0.3947 eV per atom

a = 6.0000 Å, b = 6.0000 Å, c = 6.0000 Å
α = 60.00°, β = 60.00°, γ = 60.00°
Atoms (fractional coordinates):
Ca 0.1250 0.1250 0.1250
Ca 0.8750 0.8750 0.8750
Se 0.0000 0.5000 0.5000
Se 0.5000 0.0000 0.5000
Se 0.5000 0.5000 0.0000
Se 0.5000 0.5000 0.5000

***

Ca6Se5: optimized geometry, GGA-PBE.

Summary:
Total magnetization: 0.000 μB per atom
Energy relative to the elements, uncorrected: -1.8011 eV per atom

a = 7.2591 Å, b = 7.2591 Å, c = 7.2603 Å
α = 99.60°, β = 99.60°, γ = 120.00°
Atoms (fractional coordinates):
Ca 0.0827 0.4120 0.7479
Ca 0.2466 0.2466 0.2522
Ca 0.4120 0.0827 0.7479
Ca 0.5880 0.9173 0.2521
Ca 0.7534 0.7534 0.7478
Ca 0.9173 0.5880 0.2521
Se 0.1673 0.8327 0.0000
Se 0.3333 0.6667 0.5000
Se 0.5000 0.5000 0.0000
Se 0.6667 0.3333 0.5000
Se 0.8327 0.1673 0.0000

***

Copy entry 3 word for word.
CaSe2: optimized geometry, GGA-PBE.

Summary:
Total magnetization: 0.000 μB per atom
Energy relative to the elements, uncorrected: -0.3947 eV per atom

a = 6.0000 Å, b = 6.0000 Å, c = 6.0000 Å
α = 60.00°, β = 60.00°, γ = 60.00°
Atoms (fractional coordinates):
Ca 0.1250 0.1250 0.1250
Ca 0.8750 0.8750 0.8750
Se 0.0000 0.5000 0.5000
Se 0.5000 0.0000 0.5000
Se 0.5000 0.5000 0.0000
Se 0.5000 0.5000 0.5000